No. 1
Below is Mn3Tc after structural relaxation, with properties calculated at the GGA-PBE level.

a = 4.136 Å, b = 4.461 Å, c = 5.105 Å
α = 90.00°, β = 90.00°, γ = 90.00°
Atoms (fractional coordinates):
Tc: 0.500 0.655 0.500
Mn: 0.000 0.315 0.500
Mn: 0.500 0.160 0.248
Mn: 0.000 0.840 0.252
Tc: 0.000 0.345 0.000
Mn: 0.000 0.840 0.748
Mn: 0.500 0.685 0.000
Mn: 0.500 0.160 0.752

## Properties
SG: Pmmn, No. 59
Calculated formation energy in eV/atom: 0.079
M_tot in μB/f.u.: 0.00

No. 2
Below is Ho8NiTe2 after structural relaxation, with properties calculated at the GGA-PBE level.

a = 6.360 Å, b = 8.102 Å, c = 8.102 Å
α = 50.31°, β = 96.86°, γ = 96.86°
Atoms (fractional coordinates):
Ho: 0.135 0.832 0.832
Ho: 0.865 0.168 0.168
Ho: 0.875 0.596 0.596
Ho: 0.125 0.404 0.404
Ho: 0.678 0.674 0.161
Ho: 0.322 0.839 0.326
Ni: 0.000 0.000 0.000
Ho: 0.322 0.326 0.839
Ho: 0.678 0.161 0.674
Te: 0.590 0.740 0.740
Te: 0.410 0.260 0.260

## Properties
SG: C2/m, No. 12
Energy relative to the elements, uncorrected in eV per atom: -0.394
M_tot in μB/f.u.: 0.00

No. 3
Below is CrGa2FeMo after structural relaxation, with properties calculated at the GGA-PBE level.

a = 4.544 Å, b = 4.341 Å, c = 4.544 Å
α = 90.00°, β = 90.00°, γ = 90.00°
Last column: magnetic moment on the atom in μB.
Atoms (fractional coordinates):
Mo: 0.000 0.500 0.000  -0.17
Ga: 0.500 0.000 0.000  0.01
Fe: 0.500 0.500 0.500  -0.01
Ga: 0.000 0.000 0.500  -0.01
Cr: 0.000 0.000 0.000  -0.39

## Properties
SG: P4/mmm, No. 123
Calculated formation energy in eV/atom: 1.251
M_tot in μB/f.u.: 0.58

No. 4
Below is NdLuCd2 after structural relaxation, with properties calculated at the GGA-PBE level.

a = 3.699 Å, b = 3.699 Å, c = 7.800 Å
α = 90.00°, β = 90.00°, γ = 90.00°
Last column: magnetic moment on the atom in μB.
Atoms (fractional coordinates):
Cd: 0.000 0.000 0.228  0.01
Nd: 0.500 0.500 0.500  0.18
Cd: 0.000 0.000 0.772  0.01
Lu: 0.500 0.500 0.000  0.03

## Properties
Offset from the most stable computed form in meV per atom: 0
SG: P4/mmm, No. 123
Calculated formation energy in eV/atom: -0.307
M_tot in μB/f.u.: 0.42

No. 5
Below is LiBr2O2F6 after structural relaxation, with properties calculated at the GGA-PBE level.

a = 6.276 Å, b = 6.276 Å, c = 5.226 Å
α = 90.00°, β = 90.00°, γ = 120.00°
Last column: magnetic moment on the atom in μB.
Atoms (fractional coordinates):
F: 0.772 0.689 0.215  0.05
Br: 0.667 0.333 0.263  0.22
Br: 0.333 0.667 0.737  0.22
F: 0.916 0.228 0.215  0.05
F: 0.689 0.916 0.785  0.05
O: 0.333 0.667 0.430  0.06
F: 0.311 0.084 0.215  0.05
F: 0.228 0.311 0.785  0.05
O: 0.667 0.333 0.570  0.06
F: 0.084 0.772 0.785  0.05
Li: 0.000 0.000 0.000  0.01

## Properties
SG: P-3, No. 147
Energy relative to the elements, uncorrected in eV per atom: -0.815
M_tot in μB/f.u.: 1.03

No. 6
Below is CdWSe4 after structural relaxation, with properties calculated at the GGA-PBE level.

a = 5.689 Å, b = 5.689 Å, c = 5.689 Å
α = 60.00°, β = 60.00°, γ = 60.00°
Last column: magnetic moment on the atom in μB.
Atoms (fractional coordinates):
Se: 0.376 0.873 0.376  0.02
W: 0.750 0.750 0.750  2.67
Se: 0.873 0.376 0.376  0.02
Cd: 0.000 0.000 0.000  -0.05
Se: 0.376 0.376 0.873  0.02
Se: 0.376 0.376 0.376  0.02

## Properties
SG: F-43m, No. 216
Energy relative to the elements, uncorrected in eV per atom: 1.163
M_tot in μB/f.u.: 3.60

No. 7
Below is MnCo2Re after structural relaxation, with properties calculated at the GGA-PBE level.

a = 2.566 Å, b = 3.589 Å, c = 5.150 Å
α = 90.00°, β = 90.00°, γ = 90.00°
Last column: magnetic moment on the atom in μB.
Atoms (fractional coordinates):
Re: 0.500 0.500 0.758  -0.12
Co: 0.500 0.500 0.249  -0.89
Mn: 0.000 0.000 0.480  1.53
Co: 0.000 0.000 0.013  -0.53

## Properties
Offset from the most stable computed form in meV per atom: 67
SG: Pmm2, No. 25
Calculated formation energy in eV/atom: 0.079
M_tot in μB/f.u.: 0.04

No. 8
Below is LiIn2ClO after structural relaxation, with properties calculated at the GGA-PBE level.

a = 4.544 Å, b = 7.317 Å, c = 4.544 Å
α = 90.00°, β = 90.00°, γ = 90.00°
Atoms (fractional coordinates):
In: 0.500 0.000 0.000
O: 0.000 0.000 0.000
Cl: 0.000 0.500 0.000
In: 0.000 0.000 0.500
Li: 0.500 0.500 0.500

## Properties
SG: P4/mmm, No. 123
Energy relative to the elements, uncorrected in eV per atom: -0.481
M_tot in μB/f.u.: 0.00

No. 9
Below is Ce2Tl3FeSe6 after structural relaxation, with properties calculated at the GGA-PBE level.

a = 7.184 Å, b = 7.184 Å, c = 8.099 Å
α = 98.59°, β = 98.59°, γ = 119.89°
Last column: magnetic moment on the atom in μB.
Atoms (fractional coordinates):
Se: 0.247 0.247 0.794  0.02
Se: 0.377 0.066 0.198  0.02
Se: 0.623 0.934 0.802  0.02
Se: 0.934 0.623 0.802  0.02
Fe: 0.000 0.000 0.000  3.31
Se: 0.066 0.377 0.198  0.02
Ce: 0.334 0.666 0.000  0.57
Se: 0.753 0.753 0.206  0.02
Tl: 0.173 0.827 0.500  0.01
Ce: 0.666 0.334 0.000  0.57
Tl: 0.827 0.173 0.500  0.01
Tl: 0.500 0.500 0.500  0.01

## Properties
SG: C2/m, No. 12
Energy relative to the elements, uncorrected in eV per atom: -0.932
M_tot in μB/f.u.: 5.00

No. 10
Below is NdLuPuCd after structural relaxation, with properties calculated at the GGA-PBE level.

a = 5.429 Å, b = 5.429 Å, c = 5.429 Å
α = 60.00°, β = 60.00°, γ = 60.00°
Last column: magnetic moment on the atom in μB.
Atoms (fractional coordinates):
Nd: 0.500 0.500 0.500  0.19
Cd: 0.750 0.750 0.750  -0.02
Pu: 0.250 0.250 0.250  5.67
Lu: 0.000 0.000 0.000  0.27

## Properties
SG: F-43m, No. 216
Calculated formation energy in eV/atom: 0.087
M_tot in μB/f.u.: 6.65

No. 11
Below is AlOs2W after structural relaxation, with properties calculated at the GGA-PBE level.

a = 4.552 Å, b = 4.552 Å, c = 4.914 Å
α = 82.48°, β = 82.48°, γ = 36.07°
Atoms (fractional coordinates):
Al: 0.250 0.250 0.250
W: 0.750 0.750 0.750
Os: 0.999 0.999 0.009
Os: 0.501 0.501 0.491

## Properties
SG: C2/m, No. 12
Calculated formation energy in eV/atom: 0.014
M_tot in μB/f.u.: 0.00

No. 12
Below is ZrGaSi2 after structural relaxation, with properties calculated at the GGA-PBE level.

a = 7.161 Å, b = 7.161 Å, c = 5.792 Å
α = 51.82°, β = 51.82°, γ = 90.00°
Atoms (fractional coordinates):
Zr: 0.000 0.000 0.000
Zr: 0.750 0.250 0.500
Si: 0.875 0.846 0.750
Ga: 0.500 0.500 0.000
Si: 0.375 0.404 0.750
Ga: 0.250 0.750 0.500
Si: 0.154 0.625 0.250
Si: 0.596 0.125 0.250

## Properties
SG: I-42d, No. 122
Energy relative to the elements, uncorrected in eV per atom: -0.014
M_tot in μB/f.u.: 0.00

No. 13
Below is Na2LaUS4 after structural relaxation, with properties calculated at the GGA-PBE level.

a = 4.103 Å, b = 7.136 Å, c = 7.107 Å
α = 109.56°, β = 90.00°, γ = 90.00°
Last column: magnetic moment on the atom in μB.
Atoms (fractional coordinates):
La: 0.000 0.000 0.000  0.10
Na: 0.500 0.000 0.500  0.00
S: 0.000 0.733 0.230  -0.04
S: 0.000 0.267 0.770  -0.04
S: 0.500 0.257 0.235  -0.02
Na: 0.000 0.500 0.500  0.00
S: 0.500 0.743 0.765  -0.02
U: 0.500 0.500 0.000  2.58

## Properties
SG: P2/m, No. 10
Energy relative to the elements, uncorrected in eV per atom: -1.575
M_tot in μB/f.u.: 3.01

No. 14
Below is ZrCoMo2 after structural relaxation, with properties calculated at the GGA-PBE level.

a = 3.252 Å, b = 3.252 Å, c = 6.113 Å
α = 90.00°, β = 90.00°, γ = 90.00°
Last column: magnetic moment on the atom in μB.
Atoms (fractional coordinates):
Zr: 0.500 0.500 0.250  -0.01
Mo: 0.000 0.000 0.963  0.11
Mo: 0.000 0.000 0.537  0.11
Co: 0.500 0.500 0.750  1.21

## Properties
Offset from the most stable computed form in meV per atom: 225
SG: P4/mmm, No. 123
Calculated formation energy in eV/atom: 0.208
M_tot in μB/f.u.: 1.45

No. 15
Below is BC2 after structural relaxation, with properties calculated at the GGA-PBE level.

a = 6.144 Å, b = 6.144 Å, c = 5.124 Å
α = 102.38°, β = 102.38°, γ = 23.91°
Atoms (fractional coordinates):
C: 0.657 0.657 0.332
B: 0.242 0.242 0.391
C: 0.337 0.337 0.678
C: 0.241 0.241 0.865
C: 0.013 0.013 0.997
B: 0.326 0.326 0.152
C: 0.668 0.668 0.828
C: 0.586 0.586 0.541
C: 0.910 0.910 0.715
C: 0.588 0.588 0.036
B: 0.006 0.006 0.534
B: 0.926 0.926 0.181

## Properties
Offset from the most stable computed form in meV per atom: 180
SG: Cm, No. 8
Calculated formation energy in eV/atom: 0.420
M_tot in μB/f.u.: 0.00

No. 16
Below is CdAgOF2 after structural relaxation, with properties calculated at the GGA-PBE level.

a = 4.262 Å, b = 4.262 Å, c = 4.226 Å
α = 90.00°, β = 90.00°, γ = 90.00°
Atoms (fractional coordinates):
Cd: 0.500 0.500 0.500
F: 0.000 0.500 0.000
O: 0.000 0.000 0.500
F: 0.500 0.000 0.000
Ag: 0.000 0.000 0.000

## Properties
Offset from the most stable computed form in meV per atom: 141
SG: P4/mmm, No. 123
Energy relative to the elements, uncorrected in eV per atom: -0.720
M_tot in μB/f.u.: 0.00

No. 17
Below is CsRb2Mg after structural relaxation, with properties calculated at the GGA-PBE level.

a = 4.803 Å, b = 4.803 Å, c = 16.977 Å
α = 81.87°, β = 81.87°, γ = 60.00°
Atoms (fractional coordinates):
Cs: 0.500 0.500 0.500
Rb: 0.078 0.078 0.767
Mg: 0.000 0.000 0.000
Rb: 0.922 0.922 0.233

## Properties
SG: R-3m, No. 166
Calculated formation energy in eV/atom: 0.324
M_tot in μB/f.u.: 0.00

No. 18
Below is Sm2HgBr2 after structural relaxation, with properties calculated at the GGA-PBE level.

a = 4.118 Å, b = 4.118 Å, c = 11.690 Å
α = 79.86°, β = 79.86°, γ = 60.00°
Atoms (fractional coordinates):
Br: 0.778 0.778 0.665
Hg: 0.000 0.000 0.000
Sm: 0.392 0.392 0.825
Br: 0.222 0.222 0.335
Sm: 0.608 0.608 0.175

## Properties
SG: R-3m, No. 166
Energy relative to the elements, uncorrected in eV per atom: -1.182
M_tot in μB/f.u.: 0.00

No. 19
Below is TlReNi after structural relaxation, with properties calculated at the GGA-PBE level.

a = 4.229 Å, b = 4.229 Å, c = 4.229 Å
α = 60.00°, β = 60.00°, γ = 60.00°
Last column: magnetic moment on the atom in μB.
Atoms (fractional coordinates):
Tl: 0.500 0.500 0.500  -0.04
Re: 0.000 0.000 0.000  1.45
Ni: 0.750 0.750 0.750  0.50

## Properties
Offset from the most stable computed form in meV per atom: 312
SG: F-43m, No. 216
Calculated formation energy in eV/atom: 0.928
M_tot in μB/f.u.: 2.00

No. 20
Below is Sc3TcO after structural relaxation, with properties calculated at the GGA-PBE level.

a = 6.134 Å, b = 6.134 Å, c = 6.134 Å
α = 60.17°, β = 60.17°, γ = 60.17°
Atoms (fractional coordinates):
Sc: 0.246 0.812 0.681
O: 0.996 0.996 0.996
Sc: 0.681 0.246 0.812
O: 0.496 0.496 0.496
Sc: 0.812 0.681 0.246
Sc: 0.312 0.746 0.181
Tc: 0.246 0.246 0.246
Sc: 0.746 0.181 0.312
Tc: 0.746 0.746 0.746
Sc: 0.181 0.312 0.746

## Properties
Offset from the most stable computed form in meV per atom: 62
SG: R-3c, No. 167
Energy relative to the elements, uncorrected in eV per atom: -1.261
M_tot in μB/f.u.: 0.00